Record 1
First-principles (GGA-PBE) data for a relaxed structure of U3Si, as listed in the Alexandria database.

Lattice parameters (Å, degrees): 5.8029 5.8029 4.7719 90.03 90.03 104.61
Atoms (fractional coordinates):
U1 0.0698 0.0698 0.2498
U2 0.1203 0.5208 0.2515
U3 0.4792 0.8797 0.7485
U4 0.5208 0.1203 0.2515
U5 0.8797 0.4792 0.7485
U6 0.9302 0.9302 0.7502
Si1 0.3487 0.3487 0.7521
Si2 0.6513 0.6513 0.2479

Results
The final energy comes out at -9.913 eV per atom. The energy above the most stable polymorph in this dataset is 0.154 eV/atom. The value obtained for the spin magnetization is 0.0 μB/f.u. The value obtained for the uncorrected formation energy is -0.09 eV/atom. The density comes out at 15852 kg/m³.

=====

Record 2
First-principles (GGA-PBE) data for a relaxed structure of TaCd2P, as listed in the Alexandria database.

Lattice parameters (Å, degrees): 2.8672 5.1817 5.1720 90.00 102.28 90.00
Atoms (fractional coordinates):
Ta1 0.0000 0.0000 0.0000
Cd1 0.3192 0.5000 0.7439
Cd2 0.6808 0.5000 0.2561
P1 0.0000 0.0000 0.5000

Results
For the formation energy from the elements, the calculation gives 287 meV per atom. The final energy comes out at -4.486 eV per atom. The value obtained for the spin magnetization is 0.0 μB/f.u. The density comes out at 9659 kg/m³.